This record from Alexandria via LeMat-Bulk describes crystalline TaAs2WBr at its relaxed geometry. The functional is PBE-GGA.

POSCAR file:
```
TaAs2WBr
1.0
4.878 0.000 0.000
0.000 4.878 0.000
0.000 0.000 5.050
Ta As W Br
1 2 1 1
Direct
0.000 0.000 0.000 Ta
0.000 0.500 0.500 As
0.500 0.000 0.500 As
0.500 0.500 0.500 W
0.500 0.500 0.000 Br
```

Results
- space-group type = P4/mmm
- E above lowest polymorph (meV per atom) = 30
- E_form (uncorrected) (meV/atom) = 1305


This record from Alexandria via LeMat-Bulk describes crystalline TaAs2WBr at its relaxed geometry. The functional is PBE-GGA.

POSCAR file:
```
TaAs2WBr
1.0
5.059 0.000 0.000
0.000 5.059 0.000
0.000 0.000 4.945
Ta As W Br
1 2 1 1
Direct
0.000 0.000 0.000 Ta
0.000 0.500 0.000 As
0.500 0.000 0.000 As
0.500 0.500 0.500 W
0.000 0.000 0.500 Br
```

Results
- space-group type = P4/mmm
- E above lowest polymorph (meV per atom) = 0
- E_form (uncorrected) (meV/atom) = 1275


This record from Alexandria via LeMat-Bulk describes crystalline YTaAsBr2 at its relaxed geometry. The functional is PBE-GGA.

POSCAR file:
```
YTaAsBr2
1.0
5.306 0.000 0.000
0.000 5.306 0.000
0.000 0.000 5.808
Y Ta As Br
1 1 1 2
Direct
0.000 0.000 0.000 Y
0.500 0.500 0.500 Ta
0.000 0.000 0.500 As
0.000 0.500 0.000 Br
0.500 0.000 0.000 Br
```

Results
- space-group type = P4/mmm
- E above lowest polymorph (meV per atom) = 440
- E_form (uncorrected) (meV/atom) = 419


This record from Alexandria via LeMat-Bulk describes crystalline YTaAsBr2 at its relaxed geometry. The functional is PBE-GGA.

POSCAR file:
```
YTaAsBr2
1.0
5.296 0.000 0.000
0.000 5.296 0.000
0.000 0.000 5.059
Y Ta As Br
1 1 1 2
Direct
0.000 0.000 0.000 Y
0.500 0.500 0.000 Ta
0.500 0.500 0.500 As
0.000 0.500 0.500 Br
0.500 0.000 0.500 Br
```

Results
- space-group type = P4/mmm
- E above lowest polymorph (meV per atom) = 653
- E_form (uncorrected) (meV/atom) = 633


This record from Alexandria via LeMat-Bulk describes crystalline YTaAs2Br at its relaxed geometry. The functional is PBE-GGA.

POSCAR file:
```
YTaAs2Br
1.0
5.409 0.000 0.000
0.000 5.409 0.000
0.000 0.000 5.232
Y Ta As Br
1 1 2 1
Direct
0.000 0.000 0.000 Y
0.500 0.500 0.500 Ta
0.000 0.500 0.000 As
0.500 0.000 0.000 As
0.000 0.000 0.500 Br
```

Results
- space-group type = P4/mmm
- E above lowest polymorph (meV per atom) = 990
- E_form (uncorrected) (meV/atom) = 834


This record from Alexandria via LeMat-Bulk describes crystalline YTaAsBr2 at its relaxed geometry. The functional is PBE-GGA.

POSCAR file:
```
YTaAsBr2
1.0
5.048 0.000 0.000
0.000 5.048 0.000
0.000 0.000 5.168
Y Ta As Br
1 1 1 2
Direct
0.000 0.000 0.000 Y
0.500 0.500 0.500 Ta
0.500 0.500 0.000 As
0.000 0.500 0.500 Br
0.500 0.000 0.500 Br
```

Results
- space-group type = P4/mmm
- E above lowest polymorph (meV per atom) = 0
- E_form (uncorrected) (meV/atom) = -21


This record from Alexandria via LeMat-Bulk describes crystalline YTaAs2Br at its relaxed geometry. The functional is PBE-GGA.

POSCAR file:
```
YTaAs2Br
1.0
5.063 0.000 0.000
0.000 5.063 0.000
0.000 0.000 4.967
Y Ta As Br
1 1 2 1
Direct
0.000 0.000 0.000 Y
0.500 0.500 0.500 Ta
0.000 0.500 0.500 As
0.500 0.000 0.500 As
0.500 0.500 0.000 Br
```

Results
- space-group type = P4/mmm
- E above lowest polymorph (meV per atom) = 0
- E_form (uncorrected) (meV/atom) = -156


This record from Alexandria via LeMat-Bulk describes crystalline TaZnAs2Br at its relaxed geometry. The functional is PBE-GGA.

POSCAR file:
```
TaZnAs2Br
1.0
4.723 0.000 0.000
0.000 4.723 0.000
0.000 0.000 5.045
Ta Zn As Br
1 1 2 1
Direct
0.000 0.000 0.000 Ta
0.500 0.500 0.500 Zn
0.000 0.500 0.500 As
0.500 0.000 0.500 As
0.500 0.500 0.000 Br
```

Results
- space-group type = P4/mmm
- E above lowest polymorph (meV per atom) = 808
- E_form (uncorrected) (meV/atom) = 1055


This record from Alexandria via LeMat-Bulk describes crystalline TaZnAsBr2 at its relaxed geometry. The functional is PBE-GGA.

POSCAR file:
```
TaZnAsBr2
1.0
5.175 0.000 0.000
0.000 5.175 0.000
0.000 0.000 5.084
Ta Zn As Br
1 1 1 2
Direct
0.000 0.000 0.000 Ta
0.500 0.500 0.500 Zn
0.000 0.000 0.500 As
0.000 0.500 0.000 Br
0.500 0.000 0.000 Br
```

Results
- space-group type = P4/mmm
- E above lowest polymorph (meV per atom) = 0
- E_form (uncorrected) (meV/atom) = 105


This record from Alexandria via LeMat-Bulk describes crystalline TaZnAs2Br at its relaxed geometry. The functional is PBE-GGA.

POSCAR file:
```
TaZnAs2Br
1.0
5.012 0.000 0.000
0.000 5.012 0.000
0.000 0.000 5.260
Ta Zn As Br
1 1 2 1
Direct
0.000 0.000 0.000 Ta
0.500 0.500 0.500 Zn
0.000 0.500 0.000 As
0.500 0.000 0.000 As
0.000 0.000 0.500 Br
```

Results
- space-group type = P4/mmm
- E above lowest polymorph (meV per atom) = 0
- E_form (uncorrected) (meV/atom) = 247


This record from Alexandria via LeMat-Bulk describes crystalline TaZnAsBr2 at its relaxed geometry. The functional is PBE-GGA.

POSCAR file:
```
TaZnAsBr2
1.0
4.893 0.000 0.000
0.000 4.893 0.000
0.000 0.000 5.064
Ta Zn As Br
1 1 1 2
Direct
0.000 0.000 0.000 Ta
0.500 0.500 0.500 Zn
0.500 0.500 0.000 As
0.000 0.500 0.500 Br
0.500 0.000 0.500 Br
```

Results
- space-group type = P4/mmm
- E above lowest polymorph (meV per atom) = 823
- E_form (uncorrected) (meV/atom) = 929


This record from Alexandria via LeMat-Bulk describes crystalline ZrTaAs2Br at its relaxed geometry. The functional is PBE-GGA.

POSCAR file:
```
ZrTaAs2Br
1.0
5.196 0.000 0.000
0.000 5.196 0.000
0.000 0.000 5.075
Zr Ta As Br
1 1 2 1
Direct
0.000 0.000 0.000 Zr
0.500 0.500 0.500 Ta
0.000 0.500 0.000 As
0.500 0.000 0.000 As
0.000 0.000 0.500 Br
```

Results
- space-group type = P4/mmm
- E above lowest polymorph (meV per atom) = 395
- E_form (uncorrected) (meV/atom) = 796


This record from Alexandria via LeMat-Bulk describes crystalline ZrTaAs2Br at its relaxed geometry. The functional is PBE-GGA.

POSCAR file:
```
ZrTaAs2Br
1.0
5.003 0.000 0.000
0.000 5.003 0.000
0.000 0.000 5.009
Zr Ta As Br
1 1 2 1
Direct
0.000 0.000 0.000 Zr
0.500 0.500 0.500 Ta
0.000 0.500 0.500 As
0.500 0.000 0.500 As
0.500 0.500 0.000 Br
```

Results
- space-group type = P4/mmm
- E above lowest polymorph (meV per atom) = 0
- E_form (uncorrected) (meV/atom) = 401


This record from Alexandria via LeMat-Bulk describes crystalline Tb5As4Br at its relaxed geometry. The functional is PBE-GGA.

POSCAR file:
```
Tb5As4Br
1.0
-2.075 2.920 10.407
2.075 -2.920 10.407
2.075 2.920 -10.407
Tb As Br
5 4 1
Direct
0.000 0.000 0.000 Tb
0.199 0.199 0.000 Tb
0.388 0.388 0.000 Tb
0.612 0.612 0.000 Tb
0.801 0.801 0.000 Tb
0.098 0.598 0.500 As
0.297 0.797 0.500 As
0.703 0.203 0.500 As
0.902 0.402 0.500 As
0.500 0.000 0.500 Br
```

Results
- space-group type = Immm
- E_form (uncorrected) (meV/atom) = -1487


This record from Alexandria via LeMat-Bulk describes crystalline Tb2AsBr at its relaxed geometry. The functional is PBE-GGA.

POSCAR file:
```
Tb2AsBr
1.0
2.036 1.176 7.290
-2.036 1.176 7.290
0.000 -2.351 7.290
Tb As Br
2 1 1
Direct
0.000 0.000 0.000 Tb
0.194 0.194 0.194 Tb
0.599 0.599 0.599 As
0.429 0.429 0.429 Br
```

Results
- space-group type = R3m
- E_form (uncorrected) (meV/atom) = -1331


This record from Alexandria via LeMat-Bulk describes crystalline Tb4AsBr5 at its relaxed geometry. The functional is PBE-GGA.

POSCAR file:
```
Tb4AsBr5
1.0
9.050 -2.023 0.000
9.050 2.023 0.000
-1.824 0.000 8.179
Tb As Br
4 1 5
Direct
0.000 0.000 0.223 Tb
0.000 0.000 0.777 Tb
0.348 0.348 0.921 Tb
0.652 0.652 0.079 Tb
0.500 0.500 0.000 As
0.166 0.166 0.332 Br
0.172 0.172 0.834 Br
0.500 0.500 0.500 Br
0.828 0.828 0.166 Br
0.834 0.834 0.668 Br
```

Results
- space-group type = C2/m
- E_form (uncorrected) (meV/atom) = -1558


This record from Alexandria via LeMat-Bulk describes crystalline Tb6As5Br at its relaxed geometry. The functional is PBE-GGA.

POSCAR file:
```
Tb6As5Br
1.0
3.600 -6.220 0.000
3.600 6.220 0.000
-2.391 0.000 6.760
Tb As Br
6 5 1
Direct
0.061 0.413 0.740 Tb
0.235 0.235 0.259 Tb
0.413 0.061 0.740 Tb
0.587 0.939 0.260 Tb
0.765 0.765 0.741 Tb
0.939 0.587 0.260 Tb
0.000 0.000 0.500 As
0.168 0.832 0.000 As
0.339 0.661 0.500 As
0.661 0.339 0.500 As
0.832 0.168 0.000 As
0.500 0.500 0.000 Br
```

Results
- space-group type = C2/m
- E_form (uncorrected) (meV/atom) = -1530


This record from Alexandria via LeMat-Bulk describes crystalline Tb2AsBr2 at its relaxed geometry. The functional is PBE-GGA.

POSCAR file:
```
Tb2AsBr2
1.0
2.049 1.183 10.781
-2.049 1.183 10.781
0.000 -2.366 10.781
Tb As Br
2 1 2
Direct
0.118 0.118 0.118 Tb
0.882 0.882 0.882 Tb
0.500 0.500 0.500 As
0.271 0.271 0.271 Br
0.729 0.729 0.729 Br
```

Results
- space-group type = R-3m
- E_form (uncorrected) (meV/atom) = -1713


This record from Alexandria via LeMat-Bulk describes crystalline Tc2AsBr2 at its relaxed geometry. The functional is PBE-GGA.

POSCAR file:
```
Tc2AsBr2
1.0
6.416 0.000 0.000
0.000 6.416 0.000
0.000 0.000 5.069
Tc As Br
4 2 4
Direct
0.126 0.374 0.000 Tc
0.374 0.874 0.000 Tc
0.626 0.126 0.000 Tc
0.874 0.626 0.000 Tc
0.000 0.000 0.000 As
0.500 0.500 0.000 As
0.184 0.316 0.500 Br
0.316 0.816 0.500 Br
0.684 0.184 0.500 Br
0.816 0.684 0.500 Br
```

Results
- space-group type = P4/mbm
- E above lowest polymorph (meV per atom) = 0
- E_form (uncorrected) (meV/atom) = 287


This record from Alexandria via LeMat-Bulk describes crystalline TcAs3Br at its relaxed geometry. The functional is PBE-GGA.

POSCAR file:
```
TcAs3Br
1.0
4.853 0.000 0.000
0.000 4.853 0.000
0.000 0.000 4.853
Tc As Br
1 3 1
Direct
0.000 0.000 0.000 Tc
0.000 0.000 0.500 As
0.000 0.500 0.000 As
0.500 0.000 0.000 As
0.500 0.500 0.500 Br
```

Results
- space-group type = Pm-3m
- E above lowest polymorph (meV per atom) = 0
- E_form (uncorrected) (meV/atom) = 340